ZnBiPd5: optimized geometry, GGA-PBE.

Geometry as CIF:
```
data_ZnBiPd5
_chemical_formula_sum 'Zn4 Bi4 Pd20'
_symmetry_space_group_name_H-M 'C 1 2/c 1'
_symmetry_Int_Tables_number 15
_cell_length_a 8.781
_cell_length_b 9.383
_cell_length_c 6.802
_cell_angle_alpha 90.00
_cell_angle_beta 118.42
_cell_angle_gamma 90.00
loop_
_symmetry_equiv_pos_as_xyz
'x,y,z'
'-x,-y,-z'
'-x,y,-z+1/2'
'x,-y,z+1/2'
'x+1/2,y+1/2,z'
'-x+1/2,-y+1/2,-z'
'-x+1/2,y+1/2,-z+1/2'
'x+1/2,-y+1/2,z+1/2'
loop_
_atom_site_label
_atom_site_fract_x
_atom_site_fract_y
_atom_site_fract_z
_atom_site_occupancy
Zn1 0.250 0.250 0.000 1
Bi1 0.000 0.188 0.250 1
Pd1 0.000 0.092 0.750 1
Pd2 0.044 0.363 0.586 1
Pd3 0.234 0.423 0.357 1
```

Output
crystal system = monoclinic
D(E_F) = 0.50 states/eV/atom
M_tot = 0.00 Bohr magnetons per cell
energy of formation = -162.2 meV per atom